{
  "formula": "MoIrW",
  "functional": "GGA-PBE",
  "state": "optimized geometry",
  "space_group": "P3m1 (156)",
  "relative_energy_mev_per_atom": 183,
  "lattice_angstrom": [[2.7627, 0.0000, 0.0000], [-1.3814, 2.3926, 0.0000], [0.0000, 0.0000, 7.0746]],
  "species": ["Ir", "Mo", "W"],
  "frac_coords": [[0.0000, 0.0000, 0.9993], [0.6667, 0.3333, 0.3246], [0.3333, 0.6667, 0.6760]]
}


{
  "formula": "CeDyGaSn",
  "functional": "GGA-PBE",
  "state": "optimized geometry",
  "space_group": "F-43m (216)",
  "dft_energy_ev_per_atom": -4.909,
  "lattice_angstrom": [[-1.1858, 5.1284, 0.2475], [-2.6556, 2.2832, -3.9372], [-4.9943, 1.5176, 0.7224]],
  "species": ["Ga", "Sn", "Ce", "Dy"],
  "frac_coords": [[0.7500, 0.7500, 0.7500], [0.2500, 0.2500, 0.2500], [0.0000, 0.0000, 0.0000], [0.5000, 0.5000, 0.5000]]
}


{
  "formula": "Ta2As3",
  "functional": "GGA-PBE",
  "state": "optimized geometry",
  "space_group": "R-3m (166)",
  "relative_energy_mev_per_atom": 0,
  "lattice_angstrom": [[-2.6045, 6.9416, -5.6001], [-0.6577, 4.9879, -7.8115], [-4.0504, 4.1688, -7.2489]],
  "species": ["Ta", "Ta", "As", "As", "As"],
  "frac_coords": [[0.3942, 0.3942, 0.3942], [0.6058, 0.6058, 0.6058], [0.0000, 0.0000, 0.0000], [0.7881, 0.7881, 0.7881], [0.2119, 0.2119, 0.2119]]
}


{
  "formula": "Be2TlGaBr6",
  "functional": "GGA-PBE",
  "state": "optimized geometry",
  "space_group": "C2/c (15)",
  "e_form_raw_mev_per_atom": -839.7,
  "lattice_angstrom": [[-8.0065, -3.5932, -2.1232], [1.5125, -0.8864, 8.8572], [-2.0989, 9.9995, -0.6455]],
  "species": ["Be", "Be", "Be", "Be", "Tl", "Tl", "Ga", "Ga", "Br", "Br", "Br", "Br", "Br", "Br", "Br", "Br", "Br", "Br", "Br", "Br"],
  "frac_coords": [[0.3425, 0.1465, 0.7231], [0.8535, 0.6575, 0.7769], [0.6575, 0.8535, 0.2769], [0.1465, 0.3425, 0.2231], [0.1998, 0.8002, 0.2500], [0.8002, 0.1998, 0.7500], [0.5649, 0.4351, 0.2500], [0.4351, 0.5649, 0.7500], [0.9342, 0.3674, 0.1335], [0.6326, 0.0658, 0.3665], [0.0658, 0.6326, 0.8665], [0.3674, 0.9342, 0.6335], [0.2141, 0.1555, 0.1369], [0.8445, 0.7859, 0.3631], [0.7859, 0.8445, 0.8631], [0.1555, 0.2141, 0.6369], [0.3192, 0.5303, 0.3968], [0.4697, 0.6808, 0.1032], [0.6808, 0.4697, 0.6032], [0.5303, 0.3192, 0.8968]]
}


{
  "formula": "CaCo3Pt",
  "functional": "GGA-PBE",
  "state": "optimized geometry",
  "space_group": "Pm-3m (221)",
  "relative_energy_mev_per_atom": 1158,
  "lattice_angstrom": [[4.3471, 0.0000, 0.0000], [0.0000, 4.3471, 0.0000], [0.0000, 0.0000, 4.3471]],
  "species": ["Ca", "Co", "Co", "Co", "Pt"],
  "frac_coords": [[0.0000, 0.0000, 0.0000], [0.0000, 0.5000, 0.0000], [0.0000, 0.0000, 0.5000], [0.5000, 0.0000, 0.0000], [0.5000, 0.5000, 0.5000]]
}


{
  "formula": "GaBiAsBr2",
  "functional": "GGA-PBE",
  "state": "optimized geometry",
  "space_group": "P4/mmm (123)",
  "relative_energy_mev_per_atom": 0,
  "e_form_raw_mev_per_atom": 103.5,
  "lattice_angstrom": [[-1.1141, 3.6457, 4.4152], [-5.2539, -2.4390, 0.6882], [2.1657, -3.6586, 3.5674]],
  "species": ["As", "Ga", "Bi", "Br", "Br"],
  "frac_coords": [[0.0000, 0.0000, 0.5000], [0.5000, 0.5000, 0.5000], [0.0000, 0.0000, 0.0000], [0.0000, 0.5000, 0.0000], [0.5000, 0.0000, 0.0000]]
}


{
  "formula": "Zr3Ta",
  "functional": "GGA-PBE",
  "state": "optimized geometry",
  "space_group": "Immm (71)",
  "relative_energy_mev_per_atom": 36,
  "lattice_angstrom": [[-0.4312, -4.9750, 0.3290], [4.4277, 1.9169, -3.2717], [2.8668, -0.1187, 1.9631]],
  "species": ["Ta", "Zr", "Zr", "Zr"],
  "frac_coords": [[0.0000, 0.0000, 0.0000], [0.2366, 0.4732, 0.2634], [0.5000, 0.0000, 0.5000], [0.7634, 0.5268, 0.7366]]
}


{
  "formula": "NdCd8Pd2",
  "functional": "GGA-PBE",
  "state": "optimized geometry",
  "space_group": "C2/m (12)",
  "dft_energy_ev_per_atom": -2.211,
  "lattice_angstrom": [[-4.8467, 1.9201, -1.2336], [2.0955, -2.3782, -6.6224], [-1.9651, -5.5777, 4.3509]],
  "species": ["Nd", "Cd", "Cd", "Cd", "Cd", "Cd", "Cd", "Cd", "Cd", "Pd", "Pd"],
  "frac_coords": [[0.5000, 0.0000, 0.0000], [0.9020, 0.9177, 0.6755], [0.9020, 0.6755, 0.9177], [0.2932, 0.5925, 0.5925], [0.5000, 0.7338, 0.2662], [0.5000, 0.2662, 0.7338], [0.7068, 0.4075, 0.4075], [0.0980, 0.3245, 0.0823], [0.0980, 0.0823, 0.3245], [0.0000, 0.3040, 0.6960], [0.0000, 0.6960, 0.3040]]
}


Number 1: density of states at the Fermi level 0.944 states/eV per atom. Number 2: density of states at the Fermi level 1.896 states/eV per atom. Number 3: density of states at the Fermi level 0.573 states/eV per atom. Number 4: density of states at the Fermi level 0.000 states/eV per atom. Number 5: density of states at the Fermi level 1.417 states/eV per atom. Number 6: density of states at the Fermi level 0.717 states/eV per atom. Number 7: density of states at the Fermi level 1.916 states/eV per atom. Number 8: density of states at the Fermi level 0.444 states/eV per atom.